A relaxed PaInCuIr crystal, computed with PBE-GGA.

Its total energy is -6.600 eV per atom. As for the mass density: 12.98 g cm⁻³.

Unit cell a=4.775 b=4.775 c=4.775 alpha=60.00 beta=60.00 gamma=60.00
Positions (direct):
Pa1 0.000 0.000 0.000
In1 0.500 0.500 0.500
Cu1 0.750 0.750 0.750
Ir1 0.250 0.250 0.250